{"formula": "TaNb4Re5", "functional": "GGA-PBE", "state": "optimized geometry", "lattice_angstrom": [[3.204, 0.000, 0.000], [0.000, 3.204, 0.000], [0.000, 0.000, 16.030]], "species": ["Ta", "Nb", "Nb", "Nb", "Nb", "Re", "Re", "Re", "Re", "Re"], "fractional_positions": [[0.000, 0.000, 0.000], [0.000, 0.000, 0.200], [0.000, 0.000, 0.400], [0.000, 0.000, 0.600], [0.000, 0.000, 0.800], [0.500, 0.500, 0.100], [0.500, 0.500, 0.300], [0.500, 0.500, 0.500], [0.500, 0.500, 0.700], [0.500, 0.500, 0.900]], "space_group": "P4/mmm, No. 123", "n_ef_per_ev_atom": 0.39, "vol_a3_per_atom": 16.46, "total_energy_ev_per_cell": -117.44}

=====

{"formula": "Ta2Nb7Re2", "functional": "GGA-PBE", "state": "optimized geometry", "lattice_angstrom": [[3.345, -4.287, 0.000], [3.345, 4.287, 0.000], [-2.081, 0.000, 7.001]], "species": ["Ta", "Ta", "Nb", "Nb", "Nb", "Nb", "Nb", "Nb", "Nb", "Re", "Re"], "fractional_positions": [[0.187, 0.813, 0.000], [0.813, 0.187, 0.000], [0.020, 0.403, 0.676], [0.375, 0.375, 0.105], [0.403, 0.020, 0.676], [0.500, 0.500, 0.500], [0.597, 0.980, 0.324], [0.625, 0.625, 0.895], [0.980, 0.597, 0.324], [0.099, 0.099, 0.330], [0.901, 0.901, 0.670]], "space_group": "C2/m, No. 12", "n_ef_per_ev_atom": 1.15, "vol_a3_per_atom": 18.25, "total_energy_ev_per_cell": -118.00}

=====

{"formula": "Ta4NbRe3", "functional": "GGA-PBE", "state": "optimized geometry", "lattice_angstrom": [[3.213, 0.000, 0.000], [0.000, 4.563, 0.000], [0.000, 0.000, 9.160]], "species": ["Ta", "Ta", "Ta", "Ta", "Nb", "Re", "Re", "Re"], "fractional_positions": [[0.000, 0.000, 0.000], [0.000, 0.000, 0.500], [0.000, 0.500, 0.243], [0.000, 0.500, 0.757], [0.500, 0.500, 0.500], [0.500, 0.000, 0.248], [0.500, 0.000, 0.752], [0.500, 0.500, 0.000]], "space_group": "Pmmm, No. 47", "n_ef_per_ev_atom": 0.47, "vol_a3_per_atom": 16.79, "total_energy_ev_per_cell": -97.57}

=====

{"formula": "Ta6Nb3Re", "functional": "GGA-PBE", "state": "optimized geometry", "lattice_angstrom": [[11.136, 0.000, 0.000], [0.000, 2.705, 0.000], [-4.159, 0.000, 12.123]], "species": ["Ta", "Ta", "Ta", "Ta", "Ta", "Ta", "Ta", "Ta", "Ta", "Ta", "Ta", "Ta", "Nb", "Nb", "Nb", "Nb", "Nb", "Nb", "Re", "Re"], "fractional_positions": [[0.086, 0.250, 0.203], [0.174, 0.750, 0.796], [0.233, 0.250, 0.604], [0.272, 0.750, 0.400], [0.336, 0.750, 0.195], [0.373, 0.250, 0.992], [0.627, 0.750, 0.008], [0.664, 0.250, 0.805], [0.728, 0.250, 0.600], [0.767, 0.750, 0.396], [0.826, 0.250, 0.204], [0.914, 0.750, 0.797], [0.023, 0.750, 0.400], [0.126, 0.750, 0.002], [0.478, 0.750, 0.603], [0.522, 0.250, 0.397], [0.874, 0.250, 0.998], [0.977, 0.250, 0.600], [0.423, 0.750, 0.803], [0.577, 0.250, 0.197]], "space_group": "P2_1/m, No. 11", "n_ef_per_ev_atom": 1.00, "relative_energy_mev_per_atom": 305, "vol_a3_per_atom": 18.26}

=====

{"formula": "TaNbRe", "functional": "GGA-PBE", "state": "optimized geometry", "lattice_angstrom": [[3.100, -3.106, 0.000], [3.100, 3.106, 0.000], [0.000, 0.000, 6.242]], "species": ["Ta", "Ta", "Nb", "Nb", "Re", "Re"], "fractional_positions": [[0.000, 0.500, 0.000], [0.500, 0.000, 0.500], [0.000, 0.500, 0.500], [0.500, 0.000, 0.000], [0.000, 0.000, 0.250], [0.000, 0.000, 0.750]], "space_group": "Cccm, No. 66", "n_ef_per_ev_atom": 0.81, "relative_energy_mev_per_atom": 728, "vol_a3_per_atom": 20.04}

=====

{"formula": "TaNb2Re2", "functional": "GGA-PBE", "state": "optimized geometry", "lattice_angstrom": [[7.414, 0.000, 0.000], [0.000, 7.414, 0.000], [0.000, 0.000, 3.210]], "species": ["Ta", "Ta", "Nb", "Nb", "Nb", "Nb", "Re", "Re", "Re", "Re"], "fractional_positions": [[0.000, 0.000, 0.000], [0.500, 0.500, 0.000], [0.163, 0.337, 0.500], [0.337, 0.837, 0.500], [0.663, 0.163, 0.500], [0.837, 0.663, 0.500], [0.140, 0.640, 0.000], [0.360, 0.140, 0.000], [0.640, 0.860, 0.000], [0.860, 0.360, 0.000]], "space_group": "P4/mbm, No. 127", "n_ef_per_ev_atom": 1.38, "relative_energy_mev_per_atom": 250, "vol_a3_per_atom": 17.65}

=====

{"formula": "TaNbRe", "functional": "GGA-PBE", "state": "optimized geometry", "lattice_angstrom": [[4.529, 0.000, 0.000], [-2.265, 3.922, 0.000], [0.000, 0.000, 2.852]], "species": ["Ta", "Nb", "Re"], "fractional_positions": [[0.000, 0.000, 0.000], [0.667, 0.333, 0.650], [0.333, 0.667, 0.327]], "space_group": "P3m1, No. 156", "n_ef_per_ev_atom": 0.57, "relative_energy_mev_per_atom": 68, "vol_a3_per_atom": 16.89}

=====

{"formula": "Ta3NbRe4", "functional": "GGA-PBE", "state": "optimized geometry", "lattice_angstrom": [[3.203, 0.000, 0.000], [0.000, 3.203, 0.000], [0.000, 0.000, 12.811]], "species": ["Ta", "Ta", "Ta", "Nb", "Re", "Re", "Re", "Re"], "fractional_positions": [[0.000, 0.000, 0.000], [0.000, 0.000, 0.250], [0.000, 0.000, 0.750], [0.000, 0.000, 0.500], [0.500, 0.500, 0.125], [0.500, 0.500, 0.375], [0.500, 0.500, 0.625], [0.500, 0.500, 0.875]], "space_group": "P4/mmm, No. 123", "n_ef_per_ev_atom": 0.36, "vol_a3_per_atom": 16.42, "total_energy_ev_per_cell": -98.50}

=====

{"formula": "Ta3Nb2Re", "functional": "GGA-PBE", "state": "optimized geometry", "lattice_angstrom": [[2.303, -6.921, 0.000], [2.303, 6.921, 0.000], [0.000, 0.000, 6.594]], "species": ["Ta", "Ta", "Ta", "Ta", "Ta", "Ta", "Nb", "Nb", "Nb", "Nb", "Re", "Re"], "fractional_positions": [[0.000, 0.000, 0.243], [0.000, 0.000, 0.757], [0.331, 0.669, 0.242], [0.331, 0.669, 0.758], [0.669, 0.331, 0.242], [0.669, 0.331, 0.758], [0.167, 0.833, 0.500], [0.500, 0.500, 0.000], [0.500, 0.500, 0.500], [0.833, 0.167, 0.500], [0.167, 0.833, 0.000], [0.833, 0.167, 0.000]], "space_group": "Cmmm, No. 65", "n_ef_per_ev_atom": 1.10, "relative_energy_mev_per_atom": 0, "vol_a3_per_atom": 17.51}

=====

{"formula": "Ta2Nb2Re", "functional": "GGA-PBE", "state": "optimized geometry", "lattice_angstrom": [[2.780, -4.780, 0.000], [2.780, 4.780, 0.000], [-2.153, 0.000, 6.952]], "species": ["Ta", "Ta", "Ta", "Ta", "Nb", "Nb", "Nb", "Nb", "Re", "Re"], "fractional_positions": [[0.116, 0.617, 0.798], [0.383, 0.884, 0.202], [0.617, 0.116, 0.798], [0.884, 0.383, 0.202], [0.082, 0.082, 0.692], [0.298, 0.298, 0.075], [0.702, 0.702, 0.925], [0.918, 0.918, 0.308], [0.368, 0.632, 0.500], [0.632, 0.368, 0.500]], "space_group": "C2/m, No. 12", "n_ef_per_ev_atom": 0.88, "relative_energy_mev_per_atom": 46, "vol_a3_per_atom": 18.47}

=====

{"formula": "TaTiNb2Re", "functional": "GGA-PBE", "state": "optimized geometry", "lattice_angstrom": [[4.867, 0.000, 0.000], [0.000, 4.867, 0.000], [0.000, 0.000, 4.552]], "species": ["Ta", "Ti", "Nb", "Nb", "Re"], "fractional_positions": [[0.000, 0.000, 0.000], [0.500, 0.500, 0.000], [0.000, 0.500, 0.500], [0.500, 0.000, 0.500], [0.500, 0.500, 0.500]], "space_group": "P4/mmm, No. 123", "n_ef_per_ev_atom": 1.16, "vol_a3_per_atom": 21.56, "total_energy_ev_per_cell": -46.54}

=====

{"formula": "TaNbVRe", "functional": "GGA-PBE", "state": "optimized geometry", "lattice_angstrom": [[0.000, 3.185, 3.185], [3.185, 0.000, 3.185], [3.185, 3.185, 0.000]], "species": ["Ta", "Nb", "V", "Re"], "fractional_positions": [[0.000, 0.000, 0.000], [0.500, 0.500, 0.500], [0.250, 0.250, 0.250], [0.750, 0.750, 0.750]], "space_group": "F-43m, No. 216", "n_ef_per_ev_atom": 0.60, "vol_a3_per_atom": 16.16, "total_energy_ev_per_cell": -44.43}

=====

{"formula": "Ta2Nb6ReW2", "functional": "GGA-PBE", "state": "optimized geometry", "lattice_angstrom": [[2.681, 1.548, 9.305], [-2.681, 1.548, 9.305], [0.000, -3.096, 9.305]], "species": ["Ta", "Ta", "Nb", "Nb", "Nb", "Nb", "Nb", "Nb", "Re", "W", "W"], "fractional_positions": [[0.169, 0.169, 0.169], [0.831, 0.831, 0.831], [0.093, 0.093, 0.589], [0.093, 0.589, 0.093], [0.411, 0.907, 0.907], [0.589, 0.093, 0.093], [0.907, 0.411, 0.907], [0.907, 0.907, 0.411], [0.000, 0.000, 0.000], [0.456, 0.456, 0.456], [0.544, 0.544, 0.544]], "space_group": "R-3m, No. 166", "n_ef_per_ev_atom": 1.28, "vol_a3_per_atom": 21.06, "total_energy_ev_per_cell": -113.15}

=====

{"formula": "ZrTaNbRe", "functional": "GGA-PBE", "state": "optimized geometry", "lattice_angstrom": [[0.000, 3.300, 3.300], [3.300, 0.000, 3.300], [3.300, 3.300, 0.000]], "species": ["Zr", "Ta", "Nb", "Re"], "fractional_positions": [[0.000, 0.000, 0.000], [0.500, 0.500, 0.500], [0.750, 0.750, 0.750], [0.250, 0.250, 0.250]], "space_group": "F-43m, No. 216", "n_ef_per_ev_atom": 1.18, "vol_a3_per_atom": 17.98, "total_energy_ev_per_cell": -43.41}

=====

{"formula": "TbNbRe", "functional": "GGA-PBE", "state": "optimized geometry", "lattice_angstrom": [[0.000, 4.897, 10.215], [2.552, 0.000, 10.215], [2.552, 4.897, 0.000]], "species": ["Tb", "Tb", "Tb", "Tb", "Nb", "Nb", "Nb", "Nb", "Re", "Re", "Re", "Re"], "fractional_positions": [[0.036, 0.714, 0.036], [0.286, 0.964, 0.286], [0.714, 0.036, 0.714], [0.964, 0.286, 0.964], [0.288, 0.288, 0.462], [0.462, 0.462, 0.288], [0.538, 0.538, 0.712], [0.712, 0.712, 0.538], [0.001, 0.001, 0.249], [0.249, 0.249, 0.001], [0.751, 0.751, 0.999], [0.999, 0.999, 0.751]], "space_group": "Fddd, No. 70", "n_ef_per_ev_atom": 0.74, "vol_a3_per_atom": 21.28, "total_energy_ev_per_cell": -106.88}

=====

{"formula": "TbNbRe4", "functional": "GGA-PBE", "state": "optimized geometry", "lattice_angstrom": [[0.000, 3.761, 3.761], [3.761, 0.000, 3.761], [3.761, 3.761, 0.000]], "species": ["Tb", "Nb", "Re", "Re", "Re", "Re"], "fractional_positions": [[0.000, 0.000, 0.000], [0.750, 0.750, 0.750], [0.375, 0.375, 0.375], [0.375, 0.375, 0.874], [0.375, 0.874, 0.375], [0.874, 0.375, 0.375]], "space_group": "F-43m, No. 216", "n_ef_per_ev_atom": 1.34, "vol_a3_per_atom": 17.73, "total_energy_ev_per_cell": -64.81}

=====

{"formula": "Nb5ReTc4", "functional": "GGA-PBE", "state": "optimized geometry", "lattice_angstrom": [[3.197, 0.000, 0.000], [0.000, 3.197, 0.000], [0.000, 0.000, 15.969]], "species": ["Nb", "Nb", "Nb", "Nb", "Nb", "Re", "Tc", "Tc", "Tc", "Tc"], "fractional_positions": [[0.000, 0.000, 0.000], [0.000, 0.000, 0.200], [0.000, 0.000, 0.399], [0.000, 0.000, 0.601], [0.000, 0.000, 0.800], [0.500, 0.500, 0.500], [0.500, 0.500, 0.100], [0.500, 0.500, 0.299], [0.500, 0.500, 0.701], [0.500, 0.500, 0.900]], "space_group": "P4/mmm, No. 123", "n_ef_per_ev_atom": 0.31, "vol_a3_per_atom": 16.32, "total_energy_ev_per_cell": -107.58}

=====

{"formula": "Nb3ReTc2", "functional": "GGA-PBE", "state": "optimized geometry", "lattice_angstrom": [[3.199, 0.000, 0.000], [0.000, 3.199, 0.000], [0.000, 0.000, 9.584]], "species": ["Nb", "Nb", "Nb", "Re", "Tc", "Tc"], "fractional_positions": [[0.000, 0.000, 0.000], [0.000, 0.000, 0.333], [0.000, 0.000, 0.667], [0.500, 0.500, 0.500], [0.500, 0.500, 0.166], [0.500, 0.500, 0.834]], "space_group": "P4/mmm, No. 123", "n_ef_per_ev_atom": 0.25, "vol_a3_per_atom": 16.35, "total_energy_ev_per_cell": -65.33}

=====

{"formula": "Nb4ReTc2", "functional": "GGA-PBE", "state": "optimized geometry", "lattice_angstrom": [[-3.160, 3.160, 3.163], [3.160, -3.160, 3.163], [3.160, 3.160, -3.163]], "species": ["Nb", "Nb", "Nb", "Nb", "Re", "Tc", "Tc"], "fractional_positions": [[0.000, 0.000, 0.500], [0.000, 0.500, 0.000], [0.500, 0.000, 0.000], [0.500, 0.500, 0.500], [0.000, 0.000, 0.000], [0.000, 0.500, 0.500], [0.500, 0.000, 0.500]], "space_group": "I4/mmm, No. 139", "n_ef_per_ev_atom": 0.50, "relative_energy_mev_per_atom": 0, "vol_a3_per_atom": 18.06}

=====

{"formula": "Nb4ReTc2", "functional": "GGA-PBE", "state": "optimized geometry", "lattice_angstrom": [[-2.400, 2.400, 6.404], [2.400, -2.400, 6.404], [2.400, 2.400, -6.404]], "species": ["Nb", "Nb", "Nb", "Nb", "Re", "Tc", "Tc"], "fractional_positions": [[0.000, 0.500, 0.500], [0.199, 0.199, 0.000], [0.500, 0.000, 0.500], [0.801, 0.801, 0.000], [0.000, 0.000, 0.000], [0.384, 0.384, 0.000], [0.616, 0.616, 0.000]], "space_group": "I4/mmm, No. 139", "n_ef_per_ev_atom": 1.49, "relative_energy_mev_per_atom": 1174, "vol_a3_per_atom": 21.08}